No. 1
A relaxed structure of Al2HgRu, computed with PBE-GGA.

Unit cell a=2.9856 b=3.0860 c=7.7148 alpha=83.99 beta=90.00 gamma=90.00
Atoms (fractional coordinates):
Hg: 0.5000 0.2500 0.2500
Ru: 0.5000 0.7500 0.7500
Al: 0.0000 0.2024 0.9324
Al: 0.0000 0.2976 0.5676

For the formation energy, the calculation gives -0.3222 eV per atom. For the uncorrected energy, the calculation gives -18.4 eV for the cell shown.



No. 2
A relaxed structure of AlHg2Ru, computed with PBE-GGA.

Unit cell a=3.6227 b=3.6227 c=5.5865 alpha=90.00 beta=90.00 gamma=90.00
Atoms (fractional coordinates):
Hg: 0.0000 0.0000 0.4984
Hg: 0.0000 0.0000 0.0016
Ru: 0.5000 0.5000 0.2500
Al: 0.5000 0.5000 0.7500

For the formation energy, the calculation gives 0.3651 eV per atom. For the uncorrected energy, the calculation gives -12.2 eV for the cell shown.



No. 3
A relaxed structure of Al2HgRu, computed with PBE-GGA.

Unit cell a=4.3580 b=4.3580 c=3.3133 alpha=90.00 beta=90.00 gamma=90.00
Atoms (fractional coordinates):
Hg: 0.5000 0.0000 0.5000
Ru: 0.0000 0.5000 0.5000
Al: 0.0000 0.0000 0.0000
Al: 0.5000 0.5000 0.0000

For the formation energy, the calculation gives -0.0645 eV per atom. For the uncorrected energy, the calculation gives -17.3 eV for the cell shown.



No. 4
A relaxed structure of AlHg2Ru, computed with PBE-GGA.

Unit cell a=5.4338 b=5.4338 c=5.4328 alpha=141.33 beta=134.13 gamma=61.52
Atoms (fractional coordinates):
Hg: 0.5144 0.5144 0.0000
Hg: 0.9856 0.9856 0.0000
Al: 0.7500 0.2500 0.5000
Ru: 0.2500 0.7500 0.5000

For the formation energy, the calculation gives 0.2522 eV per atom. For the uncorrected energy, the calculation gives -12.6 eV for the cell shown.



- Which of these has the highest uncorrected energy?
  number 2